DFT (PBE) results for a relaxed structure of Nb2ZnIr2.

Properties
SG: P4/mbm, No. 127
Electronic total energy: -8.164 eV per atom
Calculated volume: 171.6 Å³/cell
ρ: 12.3 g/cm3

a = 7.662 Å, b = 7.662 Å, c = 2.923 Å
α = 90.00°, β = 90.00°, γ = 90.00°
Fractional positions:
Nb 0.166 0.334 0.000
Nb 0.334 0.834 0.000
Nb 0.666 0.166 0.000
Nb 0.834 0.666 0.000
Zn 0.000 0.000 0.500
Zn 0.500 0.500 0.500
Ir 0.129 0.629 0.500
Ir 0.371 0.129 0.500
Ir 0.629 0.871 0.500
Ir 0.871 0.371 0.500